Here is Fe6SiIr after structural relaxation from OQMD via LeMat-Bulk. Energies are from PBE.

Cell and atoms, written as POSCAR:
```
Fe6SiIr
1.0
4.042 0.000 0.000
0.000 4.042 0.000
0.000 0.000 5.722
Fe Si Ir
6 1 1
Cartesian
0.000 0.000 0.000
0.000 2.021 1.377
0.000 2.021 4.345
2.021 0.000 1.377
2.021 0.000 4.345
2.021 2.021 2.861
2.021 2.021 0.000
0.000 0.000 2.861
```

Computed properties:
VASP energy: -8.163 eV per atom
space group: P4/mmm, No. 123

---

Here is Cs2CdGe3Se8 after structural relaxation from OQMD via LeMat-Bulk. Energies are from PBE.

Cell and atoms, written as POSCAR:
```
Cs2CdGe3Se8
1.0
7.888 0.000 0.000
0.000 13.352 0.000
0.000 0.000 18.116
Cs Cd Ge Se
8 4 12 32
Cartesian
1.815 2.649 6.276
1.927 1.652 17.181
2.017 11.700 8.123
2.129 10.703 15.334
5.759 4.027 11.840
5.871 5.024 0.935
5.961 8.327 9.993
6.073 9.324 2.782
0.149 13.346 11.825
3.795 0.006 2.767
4.093 6.681 6.291
7.739 6.670 15.349
0.168 7.048 6.265
1.850 7.359 12.242
1.877 7.444 0.321
2.067 5.907 9.379
2.094 5.993 3.184
3.776 6.304 15.323
4.112 12.980 11.851
5.794 12.668 5.874
5.821 12.583 17.794
6.011 0.769 8.737
6.038 0.683 14.932
7.720 0.372 2.793
0.004 5.569 4.310
0.042 1.633 13.953
0.048 5.455 8.135
0.106 1.600 9.652
1.709 5.014 11.606
1.748 1.740 2.729
1.813 5.089 0.939
1.884 4.929 15.268
2.060 8.422 6.210
2.131 8.262 9.997
2.196 11.612 11.787
2.235 8.337 2.548
3.838 11.752 0.594
3.896 7.897 17.193
3.902 11.718 4.895
3.940 7.782 13.368
3.948 1.106 13.806
3.986 5.042 4.163
3.992 1.221 9.981
4.050 5.076 8.464
5.653 1.661 6.510
5.692 4.936 15.387
5.757 1.586 17.177
5.828 1.746 2.848
6.004 11.605 11.906
6.075 11.765 8.119
6.140 8.415 6.329
6.179 11.690 15.568
7.782 8.276 17.521
7.840 12.130 0.923
7.845 8.309 13.221
7.884 12.245 4.748
```

Computed properties:
VASP energy: -3.818 eV per atom
space group: P2_12_12_1, No. 19

---

Here is PuUTc after structural relaxation from OQMD via LeMat-Bulk. Energies are from PBE.

Cell and atoms, written as POSCAR:
```
PuUTc
1.0
0.000 3.103 3.103
3.103 0.000 3.103
3.103 3.103 0.000
Pu U Tc
1 1 1
Cartesian
0.000 0.000 0.000
1.551 1.551 1.551
4.654 4.654 4.654
```

Computed properties:
VASP energy: -11.729 eV per atom
polymorph energy (0 for the lowest one): 1.005 eV per formula unit
energy of formation from the pure elements: 0.1991 eV/atom
space group: F-43m, No. 216

---

Here is ZrCu after structural relaxation from OQMD via LeMat-Bulk. Energies are from PBE.

Cell and atoms, written as POSCAR:
```
ZrCu
1.0
3.266 0.000 0.000
0.000 3.266 0.000
0.000 0.000 3.266
Zr Cu
1 1
Cartesian
0.000 0.000 0.000
1.633 1.633 1.633
```

Computed properties:
VASP energy: -6.238 eV per atom
energy of formation from the pure elements: -0.1060 eV/atom
space group: Pm-3m, No. 221

---

Here is InCu3SnTe4 after structural relaxation from OQMD via LeMat-Bulk. Energies are from PBE.

Cell and atoms, written as POSCAR:
```
InCu3SnTe4
1.0
6.494 0.000 0.000
0.000 6.494 0.000
0.000 0.000 6.494
In Cu Sn Te
1 3 1 4
Cartesian
0.000 0.000 0.000
0.000 3.247 3.247
3.247 0.000 3.247
3.247 3.247 0.000
3.247 3.247 3.247
1.618 1.618 1.618
1.618 4.876 4.876
4.876 1.618 4.876
4.876 4.876 1.618
```

Computed properties:
VASP energy: -3.354 eV per atom
space group: P-43m, No. 215

---

Here is RbTaNb after structural relaxation from OQMD via LeMat-Bulk. Energies are from PBE.

Cell and atoms, written as POSCAR:
```
RbTaNb
1.0
0.000 3.365 3.365
3.365 0.000 3.365
3.365 3.365 0.000
Rb Ta Nb
1 1 1
Cartesian
0.000 0.000 0.000
1.683 1.683 1.683
5.048 5.048 5.048
```

Computed properties:
VASP energy: -4.421 eV per atom
polymorph energy (0 for the lowest one): 2.680 eV per formula unit
space group: F-43m, No. 216

---

Question: Which of these has the lowest VASP energy?
Answer: PuUTc

---

Question: Which of these has the lowest VASP energy?
Answer: PuUTc